[1]
The following is a PBE calculation of an optimized crystal structure of BaPAu, from the Alexandria database.

abc: 8.317 4.549 4.549
angles: 90.00 105.88 105.89
Fractional coordinates of all 6 atoms:
P  0.723  0.211  0.793
P  0.027  0.363  0.944
Au  0.196  0.447  0.528
Au  0.555  0.627  0.708
Ba  0.375  0.037  0.119
Ba  0.875  0.787  0.369

## Properties
ΔH_f (0 K) ... -0.81 eV/atom
DOS at the Fermi energy ... 0.40 states/eV/cell

=====

[2]
The following is a PBE calculation of an optimized crystal structure of SnPdAu, from the Alexandria database.

abc: 3.594 3.594 5.039
angles: 110.89 110.89 90.00
Fractional coordinates of all 3 atoms:
Au  0.619  0.619  0.239
Sn  0.947  0.947  0.893
Pd  0.284  0.284  0.568

## Properties
ΔH_f (0 K) ... -0.28 eV/atom
Relative energy among the computed polymorphs ... 0.0 meV/atom
DOS at the Fermi energy ... 1.29 states/eV/cell

=====

[3]
The following is a PBE calculation of an optimized crystal structure of MnGaPd14, from the Alexandria database.

abc: 5.598 5.598 7.778
angles: 90.00 90.00 90.01
Fractional coordinates of all 16 atoms:
Mn  0.875  0.875  0.500
Ga  0.375  0.375  0.500
Pd  0.875  0.875  0.000
Pd  0.375  0.375  0.000
Pd  0.875  0.375  0.500
Pd  0.875  0.375  0.000
Pd  0.375  0.875  0.500
Pd  0.375  0.875  0.000
Pd  0.625  0.125  0.256
Pd  0.625  0.125  0.744
Pd  0.125  0.625  0.256
Pd  0.125  0.625  0.744
Pd  0.624  0.624  0.256
Pd  0.624  0.624  0.744
Pd  0.126  0.126  0.256
Pd  0.126  0.126  0.744

## Properties
ΔH_f (0 K) ... -0.17 eV/atom
DOS at the Fermi energy ... 27.90 states/eV/cell

=====

[4]
The following is a PBE calculation of an optimized crystal structure of Nd3Sn2, from the Alexandria database.

abc: 6.318 6.318 9.126
angles: 110.25 110.25 90.00
Fractional coordinates of all 10 atoms:
Nd  0.132  0.882  0.265
Nd  0.132  0.382  0.765
Nd  0.632  0.382  0.765
Nd  0.132  0.382  0.265
Nd  0.507  0.007  0.015
Nd  0.757  0.757  0.515
Sn  0.956  0.956  0.912
Sn  0.706  0.206  0.412
Sn  0.559  0.559  0.118
Sn  0.309  0.809  0.618

## Properties
ΔH_f (0 K) ... -0.58 eV/atom
DOS at the Fermi energy ... 8.19 states/eV/cell

=====

[5]
The following is a PBE calculation of an optimized crystal structure of TcAuI2N, from the Alexandria database.

abc: 6.053 6.053 3.773
angles: 90.00 90.00 90.00
Fractional coordinates of all 5 atoms:
I  0.000  0.500  0.000
I  0.500  0.000  0.000
Au  0.000  0.000  0.000
Tc  0.500  0.500  0.500
N  0.000  0.000  0.500

## Properties
Relative energy among the computed polymorphs ... 950.6 meV/atom
E_form (uncorrected) ... 1.460 eV per atom
DOS at the Fermi energy ... 3.42 states/eV/cell

=====

[6]
The following is a PBE calculation of an optimized crystal structure of Cr2Co, from the Alexandria database.

abc: 3.995 3.995 4.918
angles: 90.00 90.00 120.00
Fractional coordinates of all 6 atoms:
Cr  0.000  0.000  0.000
Cr  0.000  0.000  0.500
Cr  0.333  0.667  0.750
Cr  0.667  0.333  0.250
Co  0.333  0.667  0.250
Co  0.667  0.333  0.750

## Properties
ΔH_f (0 K) ... 0.19 eV/atom
DOS at the Fermi energy ... 8.74 states/eV/cell

=====

[7]
The following is a PBE calculation of an optimized crystal structure of IrSeO, from the Alexandria database.

abc: 4.753 5.809 6.568
angles: 91.83 90.00 90.00
Fractional coordinates of all 12 atoms:
Ir  0.524  0.275  0.643
Ir  0.024  0.725  0.857
Ir  0.476  0.725  0.357
Ir  0.976  0.275  0.143
Se  0.788  0.918  0.593
Se  0.712  0.918  0.093
Se  0.212  0.082  0.407
Se  0.288  0.082  0.907
O  0.201  0.575  0.127
O  0.299  0.575  0.627
O  0.799  0.425  0.873
O  0.701  0.425  0.373

## Properties
E_form (uncorrected) ... -0.354 eV per atom
DOS at the Fermi energy ... 1.42 states/eV/cell

=====

[8]
The following is a PBE calculation of an optimized crystal structure of PaAlClO4, from the Alexandria database.

abc: 6.559 6.559 6.781
angles: 78.25 78.25 59.58
Fractional coordinates of all 14 atoms:
Pa  0.293  0.293  0.845
Pa  0.707  0.707  0.155
Al  0.638  0.638  0.722
Al  0.362  0.362  0.278
Cl  0.020  0.020  0.135
Cl  0.980  0.980  0.865
O  0.300  0.300  0.540
O  0.700  0.700  0.460
O  0.104  0.502  0.144
O  0.522  0.522  0.224
O  0.498  0.896  0.856
O  0.502  0.104  0.144
O  0.478  0.478  0.776
O  0.896  0.498  0.856

## Properties
E_form (uncorrected) ... -2.699 eV per atom

=====

[9]
The following is a PBE calculation of an optimized crystal structure of LaBeAs2Br, from the Alexandria database.

abc: 5.830 5.830 5.764
angles: 90.00 90.00 90.00
Fractional coordinates of all 5 atoms:
Be  0.500  0.500  0.500
As  0.000  0.500  0.000
As  0.500  0.000  0.000
Br  0.000  0.000  0.500
La  0.000  0.000  0.000

## Properties
Relative energy among the computed polymorphs ... 1161.5 meV/atom
E_form (uncorrected) ... 0.600 eV per atom
DOS at the Fermi energy ... 4.24 states/eV/cell

=====

[10]
The following is a PBE calculation of an optimized crystal structure of NaSr8Hg2, from the Alexandria database.

abc: 6.542 9.317 9.317
angles: 111.89 98.42 98.42
Fractional coordinates of all 11 atoms:
Na  0.500  0.000  0.000
Sr  0.909  0.931  0.667
Sr  0.909  0.667  0.931
Sr  0.298  0.612  0.612
Sr  0.500  0.753  0.247
Sr  0.500  0.247  0.753
Sr  0.702  0.388  0.388
Sr  0.091  0.333  0.069
Sr  0.091  0.069  0.333
Hg  0.000  0.314  0.686
Hg  0.000  0.686  0.314

## Properties
ΔH_f (0 K) ... -0.17 eV/atom
DOS at the Fermi energy ... 11.76 states/eV/cell

=====

[11]
The following is a PBE calculation of an optimized crystal structure of K2PAu, from the Alexandria database.

abc: 5.952 5.952 5.747
angles: 61.26 61.26 44.15
Fractional coordinates of all 4 atoms:
P  0.585  0.585  0.414
K  0.966  0.966  0.034
K  0.784  0.784  0.715
Au  0.164  0.164  0.337

## Properties
ΔH_f (0 K) ... -0.41 eV/atom

=====

[12]
The following is a PBE calculation of an optimized crystal structure of VNiGe, from the Alexandria database.

abc: 3.918 3.197 6.330
angles: 90.00 100.01 90.00
Fractional coordinates of all 6 atoms:
Ni  0.164  0.250  0.664
Ni  0.836  0.750  0.336
Ge  0.332  0.250  0.316
Ge  0.668  0.750  0.684
V  0.752  0.250  0.008
V  0.248  0.750  0.992

## Properties
ΔH_f (0 K) ... -0.27 eV/atom
DOS at the Fermi energy ... 3.25 states/eV/cell